SiAg2Cl | Alexandria | PBE | optimized geometry; E_form (uncorrected) = 0.3123 eV/atom; crystal system = tetragonal
1.0
6.192 -0.058 0.000
3.897 4.811 0.000
-5.044 -2.377 2.691
Ag Cl Si
2 1 1
direct
0.000 0.000 0.000
0.250 0.750 0.500
0.500 0.500 0.000
0.750 0.250 0.500